(1)
BaMnNb2, single point on PBEsol structure, DFT meta-GGA SCAN; crystal system = cubic; ΔE_f = 1.04 eV per atom; theoretical density = 8.27 g/cm³
1.0
6.721 0.000 0.000
0.000 6.721 0.000
0.000 0.000 6.721
Ba Mn Nb
4 4 8
Direct
0.000 0.000 0.000
0.000 0.500 0.500
0.500 0.000 0.500
0.500 0.500 0.000
0.000 0.000 0.500
0.000 0.500 0.000
0.500 0.000 0.000
0.500 0.500 0.500
0.250 0.250 0.250
0.250 0.250 0.750
0.250 0.750 0.250
0.250 0.750 0.750
0.750 0.250 0.250
0.750 0.250 0.750
0.750 0.750 0.250
0.750 0.750 0.750

(2)
BaMnNb3, single point on PBEsol structure, DFT meta-GGA SCAN; crystal system = cubic; ΔE_f = 0.92 eV per atom; theoretical density = 7.19 g/cm³
1.0
4.773 0.000 0.000
0.000 4.773 0.000
0.000 0.000 4.773
Ba Mn Nb
1 1 3
Direct
0.000 0.000 0.000
0.500 0.500 0.500
0.000 0.500 0.500
0.500 0.000 0.500
0.500 0.500 0.000

(3)
BaMnNi2, single point on PBEsol structure, DFT meta-GGA SCAN; crystal system = monoclinic; ΔE_f = 0.07 eV per atom; theoretical density = 6.45 g/cm³
1.0
7.104 0.000 0.000
0.000 4.099 0.000
-2.358 0.000 5.473
Ba Mn Ni
2 2 4
Direct
0.000 0.000 0.000
0.500 0.500 0.000
0.183 0.000 0.544
0.683 0.500 0.544
0.008 0.500 0.520
0.318 0.500 0.448
0.508 0.000 0.520
0.818 0.000 0.448

(4)
Ba3MnO5, single point on PBEsol structure, DFT meta-GGA SCAN; crystal system = tetragonal; formation energy from raw total energies = -2.66 eV/atom; theoretical density = 5.92 g/cm³
1.0
-3.595 3.595 5.936
3.595 -3.595 5.936
3.595 3.595 -5.936
Ba Mn O
6 2 10
Direct
0.176 0.676 0.852
0.250 0.250 0.000
0.324 0.176 0.500
0.676 0.824 0.500
0.750 0.750 0.000
0.824 0.324 0.148
0.250 0.750 0.500
0.750 0.250 0.500
0.000 0.000 0.000
0.021 0.782 0.500
0.218 0.718 0.239
0.282 0.521 0.500
0.479 0.979 0.761
0.500 0.500 0.000
0.521 0.021 0.239
0.718 0.479 0.500
0.782 0.282 0.761
0.979 0.218 0.500

(5)
Ba3Mn2O8, single point on PBEsol structure, DFT meta-GGA SCAN; crystal system = trigonal; formation energy from raw total energies = -2.60 eV/atom; theoretical density = 5.41 g/cm³
1.0
2.840 1.640 7.135
-2.840 1.640 7.135
0.000 -3.280 7.135
Ba Mn O
3 2 8
Direct
0.000 0.000 0.000
0.207 0.207 0.207
0.793 0.793 0.793
0.407 0.407 0.407
0.593 0.593 0.593
0.241 0.727 0.727
0.273 0.273 0.759
0.273 0.759 0.273
0.329 0.329 0.329
0.671 0.671 0.671
0.727 0.241 0.727
0.727 0.727 0.241
0.759 0.273 0.273

(6)
BaMn2O8, single point on PBEsol structure, DFT meta-GGA SCAN; crystal system = orthorhombic; formation energy from raw total energies = -1.72 eV/atom; theoretical density = 3.89 g/cm³
1.0
0.000 5.928 7.384
3.655 0.000 7.384
3.655 5.928 0.000
Ba Mn O
2 4 16
Direct
0.125 0.125 0.125
0.875 0.875 0.875
0.177 0.573 0.177
0.427 0.823 0.427
0.573 0.177 0.573
0.823 0.427 0.823
0.058 0.641 0.451
0.064 0.517 0.130
0.130 0.789 0.064
0.211 0.870 0.483
0.350 0.451 0.641
0.359 0.942 0.650
0.451 0.350 0.058
0.483 0.936 0.211
0.517 0.064 0.789
0.549 0.650 0.942
0.641 0.058 0.350
0.650 0.549 0.359
0.789 0.130 0.517
0.870 0.211 0.936
0.936 0.483 0.870
0.942 0.359 0.549

(7)
Ba2MnP2O8, single point on PBEsol structure, DFT meta-GGA SCAN; crystal system = monoclinic; formation energy from raw total energies = -2.92 eV/atom; theoretical density = 4.47 g/cm³
1.0
5.302 0.000 0.000
0.000 8.998 0.000
-5.218 0.000 16.192
Ba Mn P O
8 4 8 32
Direct
0.031 0.156 0.270
0.031 0.344 0.770
0.182 0.704 0.979
0.182 0.796 0.479
0.818 0.204 0.521
0.818 0.296 0.021
0.969 0.656 0.230
0.969 0.844 0.730
0.402 0.019 0.136
0.402 0.481 0.636
0.598 0.519 0.364
0.598 0.981 0.864
0.183 0.096 0.922
0.183 0.404 0.422
0.426 0.105 0.663
0.426 0.395 0.163
0.574 0.605 0.837
0.574 0.895 0.337
0.817 0.596 0.578
0.817 0.904 0.078
0.105 0.649 0.624
0.105 0.851 0.124
0.223 0.560 0.388
0.223 0.940 0.888
0.226 0.096 0.015
0.226 0.404 0.515
0.258 0.032 0.581
0.258 0.468 0.081
0.278 0.616 0.833
0.278 0.884 0.333
0.310 0.237 0.169
0.310 0.263 0.669
0.380 0.202 0.899
0.380 0.298 0.399
0.404 0.010 0.737
0.404 0.490 0.237
0.596 0.510 0.763
0.596 0.990 0.263
0.620 0.702 0.601
0.620 0.798 0.101
0.690 0.737 0.331
0.690 0.763 0.831
0.722 0.116 0.667
0.722 0.384 0.167
0.742 0.532 0.919
0.742 0.968 0.419
0.774 0.596 0.485
0.774 0.904 0.985
0.777 0.060 0.112
0.777 0.440 0.612
0.895 0.149 0.876
0.895 0.351 0.376

(8)
BaPrMn2O5, single point on PBEsol structure, DFT meta-GGA SCAN; crystal system = tetragonal; formation energy from raw total energies = -2.79 eV/atom; theoretical density = 6.64 g/cm³
1.0
3.929 0.000 0.000
0.000 3.929 0.000
0.000 0.000 7.579
Ba Pr Mn O
1 1 2 5
Direct
0.000 0.000 0.000
0.000 0.000 0.500
0.500 0.500 0.264
0.500 0.500 0.736
0.000 0.500 0.296
0.000 0.500 0.704
0.500 0.000 0.296
0.500 0.000 0.704
0.500 0.500 0.000

Which total DFT energy (no corrections) belongs to each record? In order, -29.978 -30.520 -22.471 -21.337 -18.366 -13.166 -15.848 -19.512 eV/atom.